DFT (GGA+U) results for a geometry-optimized CoWAu2O structure.

Output
Energy   -4.05 eV per atom
Volume   17.947 Å³ per atom
N(E_F)   1.348 states/eV/atom
ρ   12078 kg/m3

a = 4.8321 Å, b = 4.8321 Å, c = 3.8431 Å
α = 90.00°, β = 90.00°, γ = 90.00°
Space group P4/mmm (No. 123)
Inequivalent atoms, fractional coordinates:
Co  0.0000  0.0000  0.0000 [1 per cell]
W  0.5000  0.5000  0.0000 [1 per cell]
Au  0.0000  0.5000  0.5000 [2 per cell]
O  0.5000  0.5000  0.5000 [1 per cell]